A relaxed TePtCl3 crystal, computed with PBE.

Output
The total DFT energy (no corrections) comes out at -13.9 eV per cell. For the formation energy from raw total energies, the calculation gives 156 meV/atom. The calculation puts the offset from the most stable computed form at 473 meV per atom.

abc: 4.9746 4.9746 4.9746
angles: 90.00 90.00 90.00
With the nearest neighbours (Å) after each atom.
Space group Pm-3m (No. 221)
Unique sites:
Te (0.0000, 0.0000, 0.0000) (multiplicity 1)  12 Cl 3.52
Pt (0.5000, 0.5000, 0.5000) (multiplicity 1)  6 Cl 2.49
Cl (0.0000, 0.5000, 0.5000) (multiplicity 3)  2 Pt 2.49


A relaxed La12PrAl3 crystal, computed with PBE.

Output
The total DFT energy (no corrections) comes out at -77.1 eV per cell. For the formation energy, the calculation gives -125 meV/atom.

abc: 5.0234 5.0234 20.3874
angles: 90.00 90.00 90.00
With the nearest neighbours (Å) after each atom.
Space group P4/mmm (No. 123)
Unique sites:
La (0.0000, 0.0000, 0.0000) (multiplicity 1)  8 La 3.52, 4 Al 3.55
La (0.0000, 0.0000, 0.2402) (multiplicity 2)  8 La 3.49-3.56, 4 Al 3.55
La (0.0000, 0.0000, 0.5000) (multiplicity 1)  4 Pr 3.55, 8 La 3.74
La (0.0000, 0.5000, 0.1213) (multiplicity 4)  8 La 3.49-3.55, 4 Al 3.52-3.53
La (0.0000, 0.5000, 0.3640) (multiplicity 4)  2 Al 3.52, 8 La 3.55-3.74, 2 Pr 3.74
Pr (0.5000, 0.5000, 0.5000) (multiplicity 1)  12 La 3.55-3.74
Al (0.5000, 0.5000, 0.0000) (multiplicity 1)  12 La 3.52-3.55
Al (0.5000, 0.5000, 0.2428) (multiplicity 2)  12 La 3.52-3.55


A relaxed B2C3 crystal, computed with PBE.

Output
The total DFT energy (no corrections) comes out at -234.0 eV per cell. For the formation energy, the calculation gives 404 meV/atom. The calculation puts the offset from the most stable computed form at 168 meV per atom.

abc: 2.6140 2.6140 32.9527
angles: 90.00 90.00 120.00
With the nearest neighbours (Å) after each atom.
Space group R3m (No. 160, hexagonal axes)
Unique sites:
B (0.0000, 0.0000, 0.0000) (multiplicity 3)  3 C 1.53
B (0.0000, 0.0000, 0.0553) (multiplicity 3)  4 B 1.75-1.82
B (0.0000, 0.0000, 0.4155) (multiplicity 3)  1 C 1.60, 3 B 1.75
B (0.0000, 0.0000, 0.6064) (multiplicity 3)  4 C 1.62-1.75
C (0.0000, 0.0000, 0.2095) (multiplicity 3)  4 C 1.52-1.60
C (0.0000, 0.0000, 0.2556) (multiplicity 3)  1 C 1.52, 3 B 1.62
C (0.0000, 0.0000, 0.4642) (multiplicity 3)  3 C 1.59, 1 B 1.60
C (0.0000, 0.0000, 0.6597) (multiplicity 3)  3 B 1.53
C (0.0000, 0.0000, 0.8131) (multiplicity 3)  4 C 1.54-1.59
C (0.0000, 0.0000, 0.8599) (multiplicity 3)  4 C 1.54-1.60


A relaxed Li2Dy2PaTe6 crystal, computed with PBE.

Output
The total DFT energy (no corrections) comes out at -108.0 eV per cell. For the formation energy from raw total energies, the calculation gives -1147 meV/atom.

abc: 7.5449 12.9962 7.5250
angles: 90.00 109.54 90.00
With the nearest neighbours (Å) after each atom.
Space group C2/m (No. 12)
Unique sites:
Li (0.0000, 0.1677, 0.0000) (multiplicity 4)  6 Te 3.05-3.06
Dy (0.0000, 0.3336, 0.5000) (multiplicity 4)  6 Te 3.09-3.10
Pa (0.0000, 0.0000, 0.5000) (multiplicity 2)  6 Te 3.08
Te (0.2463, 0.0000, 0.2466) (multiplicity 4)  2 Li 3.06, 1 Pa 3.08, 2 Dy 3.09
Te (0.2494, 0.3338, 0.2457) (multiplicity 8)  2 Li 3.05-3.06, 1 Pa 3.08, 2 Dy 3.09-3.10


A relaxed TmAgSe2 crystal, computed with PBE.

Output
The total DFT energy (no corrections) comes out at -76.3 eV per cell. For the formation energy from raw total energies, the calculation gives -1194 meV/atom.

abc: 4.2210 6.8094 13.6856
angles: 90.00 90.00 90.00
With the nearest neighbours (Å) after each atom.
Space group P2_12_12_1 (No. 19)
Unique sites:
Tm (0.2189, 0.2083, 0.3721) (multiplicity 4)  6 Se 2.82-2.87
Ag (0.0099, 0.7081, 0.3737) (multiplicity 4)  4 Se 2.71-2.76
Se (0.2205, 0.0864, 0.7257) (multiplicity 4)  2 Ag 2.71, 3 Tm 2.85-2.87
Se (0.2257, 0.4865, 0.5275) (multiplicity 4)  2 Ag 2.75-2.76, 3 Tm 2.82-2.87


A relaxed ZrPd2Rh crystal, computed with PBE.

Output
The total DFT energy (no corrections) comes out at -110.5 eV per cell. For the formation energy, the calculation gives -335 meV/atom.

abc: 3.8507 3.8507 18.9808
angles: 90.00 90.00 90.00
With the nearest neighbours (Å) after each atom.
Space group I-42d (No. 122)
Unique sites:
Zr (0.0000, 0.0000, 0.0000) (multiplicity 4)  4 Rh 2.72, 4 Pd 2.74
Pd (0.2432, 0.2500, 0.6250) (multiplicity 8)  4 Pd 2.69-2.76, 2 Rh 2.73, 2 Zr 2.74
Rh (0.0000, 0.0000, 0.5000) (multiplicity 4)  4 Zr 2.72, 4 Pd 2.73


Q: Which value of total DFT energy (no corrections) does entry 6 give?
A: -110.5 eV per cell


Q: Which value of total DFT energy (no corrections) does entry 1 give?
A: -13.9 eV per cell


Q: total DFT energy (no corrections) of number 3 (B2C3)?
A: -234.0 eV per cell